[1]
## K4Pr3PuTe8 (GGA-PBE)

Data for a relaxed structure of K4Pr3PuTe8.

* magnetization: 0.3125 μB per atom
* crystal system: trigonal
* uncorrected energy: -4.9721 eV/atom
* ΔE_f (raw): -1335 meV per atom

a = 9.8259 Å, b = 9.8259 Å, c = 9.8259 Å
α = 56.32°, β = 56.32°, γ = 56.32°
Last column: nearest neighbours and their distance in Å.
Atoms (fractional coordinates):
K (0.0000, 0.0000, 0.0000)  6 Te 3.60
K (0.0000, 0.5000, 0.5000)  6 Te 3.55-3.56
K (0.5000, 0.0000, 0.5000)  6 Te 3.55-3.56
K (0.5000, 0.5000, 0.0000)  6 Te 3.55-3.56
Pr (0.0000, 0.0000, 0.5000)  6 Te 3.22
Pr (0.0000, 0.5000, 0.0000)  6 Te 3.22
Pr (0.5000, 0.0000, 0.0000)  6 Te 3.22
Pu (0.5000, 0.5000, 0.5000)  6 Te 3.18
Te (0.2391, 0.2391, 0.2391)  3 Pr 3.22, 3 K 3.55
Te (0.2420, 0.7357, 0.7357)  1 Pu 3.18, 2 Pr 3.22
Te (0.2643, 0.2643, 0.7580)  1 Pu 3.18, 2 Pr 3.22
Te (0.2643, 0.7580, 0.2643)  1 Pu 3.18, 2 Pr 3.22
Te (0.7357, 0.2420, 0.7357)  1 Pu 3.18, 2 Pr 3.22
Te (0.7357, 0.7357, 0.2420)  1 Pu 3.18, 2 Pr 3.22
Te (0.7580, 0.2643, 0.2643)  1 Pu 3.18, 2 Pr 3.22
Te (0.7609, 0.7609, 0.7609)  3 Pr 3.22, 3 K 3.55


[2]
## K2PrPuTe4 (GGA-PBE)

Data for a relaxed structure of K2PrPuTe4.

* magnetization: 0.6250 μB per atom
* crystal system: monoclinic
* uncorrected energy: -5.4914 eV/atom
* ΔE_f (raw): -1257 meV per atom

a = 8.0015 Å, b = 4.6176 Å, c = 8.6423 Å
α = 90.00°, β = 108.05°, γ = 90.00°
Last column: nearest neighbours and their distance in Å.
Atoms (fractional coordinates):
K (0.0000, 0.0000, 0.0000)  6 Te 3.57-3.59
K (0.5000, 0.5000, 0.0000)  6 Te 3.54-3.55
Pr (0.0000, 0.5000, 0.5000)  6 Te 3.21
Pu (0.5000, 0.0000, 0.5000)  6 Te 3.16-3.18
Te (0.2423, 0.0000, 0.7152)  1 Pu 3.18, 2 Pr 3.21, 2 K 3.54
Te (0.2686, 0.5000, 0.2899)  2 Pu 3.16, 1 Pr 3.21
Te (0.7314, 0.5000, 0.7101)  2 Pu 3.16, 1 Pr 3.21
Te (0.7577, 0.0000, 0.2848)  1 Pu 3.18, 2 Pr 3.21, 2 K 3.54


[3]
## KPrPu2Te4 (GGA-PBE)

Data for a relaxed structure of KPrPu2Te4.

* magnetization: 0.0265 μB per atom
* crystal system: monoclinic
* uncorrected energy: -7.0583 eV/atom
* ΔE_f (raw): -1170 meV per atom

a = 7.9287 Å, b = 4.5189 Å, c = 8.0104 Å
α = 90.00°, β = 108.89°, γ = 90.00°
Last column: nearest neighbours and their distance in Å.
Atoms (fractional coordinates):
K (0.0000, 0.0000, 0.0000)  6 Te 3.32-3.35
Pr (0.0000, 0.5000, 0.5000)  6 Te 3.25-3.26
Pu (0.5000, 0.0000, 0.5000)  6 Te 3.13-3.16
Pu (0.5000, 0.5000, 0.0000)  6 Te 3.21-3.24
Te (0.2601, 0.0000, 0.7477)  3 Pu 3.16-3.21, 2 Pr 3.26, 1 K 3.32
Te (0.2671, 0.5000, 0.2662)  3 Pu 3.13-3.24, 1 Pr 3.25, 2 K 3.35
Te (0.7329, 0.5000, 0.7338)  3 Pu 3.13-3.24, 1 Pr 3.25, 2 K 3.35
Te (0.7399, 0.0000, 0.2523)  3 Pu 3.16-3.21, 2 Pr 3.26, 1 K 3.32


[4]
## K2RbPr (GGA-PBE)

Data for a relaxed structure of K2RbPr.

* magnetization: 0.0001 μB per atom
* DFT formation energy: 0.38 eV/atom
* crystal system: trigonal
* uncorrected energy: -1.6097 eV/atom

a = 4.0273 Å, b = 4.0273 Å, c = 48.6191 Å
α = 90.00°, β = 90.00°, γ = 120.00°
Last column: nearest neighbours and their distance in Å.
Atoms (fractional coordinates):
K (0.0000, 0.0000, 0.0786)  1 Pr 3.82, 6 K 4.03
K (0.0000, 0.0000, 0.9214)  1 Pr 3.82, 6 K 4.03
K (0.3333, 0.6667, 0.5881)  1 Pr 3.82, 6 K 4.03
K (0.3333, 0.6667, 0.7452)  1 Pr 3.82, 6 K 4.03
K (0.6667, 0.3333, 0.2548)  1 Pr 3.82, 6 K 4.03
K (0.6667, 0.3333, 0.4119)  1 Pr 3.82, 6 K 4.03
Rb (0.0000, 0.0000, 0.5000)  6 Rb 4.03
Rb (0.3333, 0.6667, 0.1667)  6 Rb 4.03
Rb (0.6667, 0.3333, 0.8333)  6 Rb 4.03
Pr (0.0000, 0.0000, 0.0000)  2 K 3.82, 6 Pr 4.03
Pr (0.3333, 0.6667, 0.6667)  2 K 3.82, 6 Pr 4.03
Pr (0.6667, 0.3333, 0.3333)  2 K 3.82, 6 Pr 4.03


[5]
## KRb2Pr (GGA-PBE)

Data for a relaxed structure of KRb2Pr.

* magnetization: 0.0001 μB per atom
* DFT formation energy: 0.39 eV/atom
* crystal system: trigonal
* uncorrected energy: -1.5622 eV/atom

a = 4.0952 Å, b = 4.0952 Å, c = 48.7572 Å
α = 90.00°, β = 90.00°, γ = 120.00°
Last column: nearest neighbours and their distance in Å.
Atoms (fractional coordinates):
K (0.0000, 0.0000, 0.0000)  6 K 4.10
K (0.3333, 0.6667, 0.6667)  6 K 4.10
K (0.6667, 0.3333, 0.3333)  6 K 4.10
Rb (0.0000, 0.0000, 0.4200)  1 Pr 3.90, 6 Rb 4.10
Rb (0.0000, 0.0000, 0.5800)  1 Pr 3.90, 6 Rb 4.10
Rb (0.3333, 0.6667, 0.0867)  1 Pr 3.90, 6 Rb 4.10
Rb (0.3333, 0.6667, 0.2467)  1 Pr 3.90, 6 Rb 4.10
Rb (0.6667, 0.3333, 0.7533)  1 Pr 3.90, 6 Rb 4.10
Rb (0.6667, 0.3333, 0.9133)  1 Pr 3.90, 6 Rb 4.10
Pr (0.0000, 0.0000, 0.5000)  2 Rb 3.90, 6 Pr 4.10
Pr (0.3333, 0.6667, 0.1667)  2 Rb 3.90, 6 Pr 4.10
Pr (0.6667, 0.3333, 0.8333)  2 Rb 3.90, 6 Pr 4.10


[6]
## KPr2S3 (GGA-PBE)

Data for a relaxed structure of KPr2S3.

* magnetization: 0.0000 μB per atom
* crystal system: hexagonal
* uncorrected energy: -5.7275 eV/atom
* ΔE_f (raw): -1888 meV per atom

a = 4.1566 Å, b = 4.1566 Å, c = 21.7486 Å
α = 90.00°, β = 90.00°, γ = 120.00°
Last column: nearest neighbours and their distance in Å.
Atoms (fractional coordinates):
K (0.0000, 0.0000, 0.2500)  6 S 3.24
K (0.0000, 0.0000, 0.7500)  6 S 3.24
Pr (0.3333, 0.6667, 0.0783)  6 S 2.86-2.94
Pr (0.3333, 0.6667, 0.4217)  6 S 2.86-2.94
Pr (0.6667, 0.3333, 0.5783)  6 S 2.86-2.94
Pr (0.6667, 0.3333, 0.9217)  6 S 2.86-2.94
S (0.0000, 0.0000, 0.0000)  6 Pr 2.94
S (0.0000, 0.0000, 0.5000)  6 Pr 2.94
S (0.3333, 0.6667, 0.6502)  3 Pr 2.86
S (0.3333, 0.6667, 0.8498)  3 Pr 2.86
S (0.6667, 0.3333, 0.1502)  3 Pr 2.86
S (0.6667, 0.3333, 0.3498)  3 Pr 2.86


[7]
## KPrS14 (GGA-PBE)

Data for a relaxed structure of KPrS14.

* magnetization: 0.0000 μB per atom
* crystal system: orthorhombic
* uncorrected energy: -4.1812 eV/atom
* ΔE_f (raw): -202 meV per atom

a = 11.1155 Å, b = 11.1155 Å, c = 11.1155 Å
α = 127.72°, β = 97.12°, γ = 105.32°
Last column: nearest neighbours and their distance in Å.
Atoms (fractional coordinates):
K (0.2992, 0.0492, 0.2500)  8 S 3.24-3.58
K (0.7008, 0.9508, 0.7500)  8 S 3.24-3.58
Pr (0.0000, 0.0000, 0.5000)  8 S 2.97-3.05
Pr (0.0000, 0.5000, 0.0000)  8 S 2.97-3.05
S (0.0214, 0.0785, 0.2896)  1 S 2.05
S (0.0214, 0.7318, 0.9429)  1 S 2.05
S (0.0612, 0.6978, 0.3634)  1 S 2.08
S (0.0931, 0.1650, 0.9282)  3 S 2.05-2.08
S (0.1655, 0.3022, 0.8634)  1 S 2.08
S (0.2632, 0.8350, 0.4282)  3 S 2.05-2.08
S (0.2876, 0.6054, 0.6822)  1 S 2.00
S (0.2888, 0.0785, 0.5571)  1 S 2.05
S (0.2888, 0.7318, 0.2104)  1 S 2.05
S (0.3165, 0.4488, 0.4056)  1 S 1.93
S (0.3165, 0.9109, 0.8677)  1 S 1.93
S (0.4233, 0.6054, 0.8178)  1 S 2.00
S (0.4567, 0.0891, 0.9056)  1 S 1.93
S (0.4567, 0.5512, 0.3677)  1 S 1.93
S (0.5433, 0.4488, 0.6323)  1 S 1.93
S (0.5433, 0.9109, 0.0944)  1 S 1.93
S (0.5767, 0.3946, 0.1822)  1 S 2.00
S (0.6835, 0.0891, 0.1323)  1 S 1.93
S (0.6835, 0.5512, 0.5944)  1 S 1.93
S (0.7112, 0.2682, 0.7896)  1 S 2.05
S (0.7112, 0.9215, 0.4429)  1 S 2.05
S (0.7124, 0.3946, 0.3178)  1 S 2.00
S (0.7368, 0.1650, 0.5718)  3 S 2.05-2.08
S (0.8345, 0.6978, 0.1366)  1 S 2.08
S (0.9069, 0.8350, 0.0718)  3 S 2.05-2.08
S (0.9388, 0.3022, 0.6366)  1 S 2.08
S (0.9786, 0.2682, 0.0571)  1 S 2.05
S (0.9786, 0.9215, 0.7104)  1 S 2.05


[8]
## KPr5S6 (GGA-PBE)

Data for a relaxed structure of KPr5S6.

* magnetization: 0.0000 μB per atom
* crystal system: monoclinic
* uncorrected energy: -6.0800 eV/atom
* ΔE_f (raw): -1933 meV per atom

a = 7.1683 Å, b = 7.1683 Å, c = 7.1949 Å
α = 99.60°, β = 99.60°, γ = 119.91°
Last column: nearest neighbours and their distance in Å.
Atoms (fractional coordinates):
K (0.0000, 0.0000, 0.0000)  6 S 2.98-3.01
Pr (0.1614, 0.8386, 0.5000)  6 S 2.89-2.93
Pr (0.3341, 0.6659, 0.0000)  6 S 2.90-2.94
Pr (0.5000, 0.5000, 0.5000)  6 S 2.89-2.93
Pr (0.6659, 0.3341, 0.0000)  6 S 2.90-2.94
Pr (0.8386, 0.1614, 0.5000)  6 S 2.89-2.93
S (0.0855, 0.4278, 0.2576)  5 Pr 2.89-2.94, 1 K 3.01
S (0.2573, 0.2573, 0.7501)  5 Pr 2.89-2.91, 1 K 2.98
S (0.4278, 0.0855, 0.2576)  5 Pr 2.89-2.94, 1 K 3.01
S (0.5722, 0.9145, 0.7424)  5 Pr 2.89-2.94, 1 K 3.01
S (0.7427, 0.7427, 0.2499)  5 Pr 2.89-2.91, 1 K 2.98
S (0.9145, 0.5722, 0.7424)  5 Pr 2.89-2.94, 1 K 3.01